No. 1
# YAsNF2

A relaxed structure of YAsNF2 (GGA-PBE, Alexandria).

## Properties
Offset from the most stable computed form: 440 meV per atom
Raw total energy: -0.40880 Ry/atom
Crystal system: tetragonal
Space group: P4/mmm

Cell and atoms, written as POSCAR:
```
YAsNF2
1.0
4.3563 0.0000 0.0000
0.0000 4.3563 0.0000
0.0000 0.0000 3.9959
Y As N F
1 1 1 2
Cartesian
0.0000 0.0000 0.0000
2.1781 2.1781 1.9979
2.1781 2.1781 0.0000
0.0000 2.1781 1.9979
2.1781 0.0000 1.9979
```

No. 2
# ScTlCo2

A relaxed structure of ScTlCo2 (GGA-PBE, Alexandria).

## Properties
Formation enthalpy at 0 K: 0.50 eV per atom
Raw total energy: -0.38419 Ry/atom
Crystal system: tetragonal
Space group: I-42d

Cell and atoms, written as POSCAR:
```
ScTlCo2
1.0
-2.0721 2.0721 8.7126
2.0721 -2.0721 8.7126
2.0721 2.0721 -8.7126
Sc Tl Co
2 2 4
Cartesian
0.0000 0.0000 0.0000
0.0000 2.0721 4.3563
2.0721 0.0000 4.3563
0.0000 0.0000 8.7126
3.1082 0.6371 -2.1782
0.6371 1.0361 2.1782
-1.0361 1.4350 6.5345
1.4350 1.0361 10.8908
```

No. 3
# SrHoMg2Hg4

A relaxed structure of SrHoMg2Hg4 (GGA-PBE, Alexandria).

## Properties
Formation enthalpy at 0 K: -0.42 eV per atom
Raw total energy: -0.12849 Ry/atom
Crystal system: trigonal
Space group: R-3m

Cell and atoms, written as POSCAR:
```
SrHoMg2Hg4
1.0
2.5560 1.4757 8.7127
-2.5560 1.4757 8.7127
0.0000 -2.9514 8.7127
Sr Ho Mg Hg
1 1 2 4
Cartesian
0.0000 0.0000 0.0000
0.0000 0.0000 13.0690
0.0000 0.0000 6.4282
0.0000 0.0000 19.7097
0.0000 0.0000 3.3251
0.0000 0.0000 9.9989
0.0000 0.0000 16.1391
0.0000 0.0000 22.8129
```

no.,spin magnetization (μB per formula unit)
1,0.49
2,1.96
3,0.00